Record 1
Computed, not measured: a relaxed structure of CuHg2Se at the GGA-PBEsol level of DFT.

abc: 4.3220 4.3220 5.1296
angles: 114.92 114.92 90.00
With the nearest neighbours (Å) after each atom.
Fractional positions:
Hg 0.0000 0.0000 0.0000  4 Hg 2.99, 4 Cu 2.99, 4 Se 3.06
Cu 0.2500 0.7500 0.5000  4 Se 2.99, 8 Hg 2.99-3.06
Se 0.5000 0.5000 0.0000  8 Hg 2.99-3.06, 4 Cu 2.99
Hg 0.7500 0.2500 0.5000  4 Hg 2.99, 4 Se 2.99, 4 Cu 3.06

Output
Formation energy without anion corrections (kJ per mole of atoms): 27.1
Symmetry: I-4m2, No. 119
Total DFT energy (no corrections) (eV per atom): -2.049



Record 2
Computed, not measured: a relaxed structure of CuHg2Se at the GGA-PBEsol level of DFT.

abc: 3.9267 3.9261 6.6947
angles: 106.83 90.00 120.01
With the nearest neighbours (Å) after each atom.
Fractional positions:
Se 0.4733 0.9466 0.4214  3 Cu 2.40
Hg 0.0130 0.0259 0.0375  3 Cu 2.79-2.80, 3 Hg 2.92-2.93
Hg 0.2481 0.4961 0.7445  3 Hg 2.92-2.93, 3 Se 3.04-3.05
Cu 0.7657 0.5313 0.2966  3 Se 2.40

Output
Formation energy without anion corrections (kJ per mole of atoms): -1.5
Symmetry: Cm, No. 8
Total DFT energy (no corrections) (eV per atom): -2.345



Record 3
Computed, not measured: a relaxed structure of Cu2SnHgSe4 at the GGA-PBEsol level of DFT.

abc: 5.8191 5.8191 7.0352
angles: 114.43 114.43 90.00
With the nearest neighbours (Å) after each atom.
Fractional positions:
Se 0.6009 0.6009 0.7129  2 Cu 2.39, 1 Sn 2.59, 1 Hg 2.67
Cu 0.2500 0.7500 0.5000  4 Se 2.39
Sn 0.5000 0.5000 0.0000  4 Se 2.59
Hg 0.0000 0.0000 0.0000  4 Se 2.67
Se 0.3991 0.8880 0.2871  2 Cu 2.39, 1 Sn 2.59, 1 Hg 2.67
Se 0.8880 0.3991 0.2871  2 Cu 2.39, 1 Sn 2.59, 1 Hg 2.67
Cu 0.7500 0.2500 0.5000  4 Se 2.39
Se 0.1120 0.1120 0.7129  2 Cu 2.39, 1 Sn 2.59, 1 Hg 2.67

Output
Formation energy without anion corrections (kJ per mole of atoms): -24.1
Symmetry: I-42m, No. 121
Total DFT energy (no corrections) (eV per atom): -3.862



Record 4
Computed, not measured: a relaxed structure of CuSnHg3 at the GGA-PBEsol level of DFT.

abc: 4.9348 4.9348 4.9348
angles: 90.00 90.00 90.00
With the nearest neighbours (Å) after each atom.
Fractional positions:
Hg 0.0000 0.5000 0.0000  2 Cu 2.47
Sn 0.5000 0.5000 0.5000  12 Hg 3.49
Hg 0.0000 0.0000 0.5000  2 Cu 2.47
Cu 0.0000 0.0000 0.0000  6 Hg 2.47
Hg 0.5000 0.0000 0.0000  2 Cu 2.47

Output
Symmetry: Pm-3m, No. 221
Total DFT energy (no corrections) (eV per atom): -1.813
Formation energy (eV per atom): 0.245



Record 5
Computed, not measured: a relaxed structure of CuSn3Hg at the GGA-PBEsol level of DFT.

abc: 5.4416 5.4416 5.4416
angles: 90.00 90.00 90.00
With the nearest neighbours (Å) after each atom.
Fractional positions:
Sn 0.5000 0.0000 0.0000  2 Hg 2.72
Sn 0.0000 0.5000 0.0000  2 Hg 2.72
Sn 0.0000 0.0000 0.5000  2 Hg 2.72
Cu 0.5000 0.5000 0.5000  12 Sn 3.85
Hg 0.0000 0.0000 0.0000  6 Sn 2.72

Output
Symmetry: Pm-3m, No. 221
Total DFT energy (no corrections) (eV per atom): -2.574
Formation energy (eV per atom): 0.962



Record 6
Computed, not measured: a relaxed structure of Cu2SnHgTe4 at the GGA-PBEsol level of DFT.

abc: 6.2024 6.2024 7.5358
angles: 114.30 114.30 90.00
With the nearest neighbours (Å) after each atom.
Fractional positions:
Te 0.8928 0.8928 0.2878  2 Cu 2.55, 1 Sn 2.81, 1 Hg 2.82
Hg 0.0000 0.0000 0.0000  4 Te 2.82
Sn 0.5000 0.5000 0.0000  4 Te 2.81
Cu 0.7500 0.2500 0.5000  4 Te 2.55
Cu 0.2500 0.7500 0.5000  4 Te 2.55
Te 0.3950 0.3950 0.2878  2 Cu 2.55, 1 Sn 2.81, 1 Hg 2.82
Te 0.6050 0.1072 0.7122  2 Cu 2.55, 1 Sn 2.81, 1 Hg 2.82
Te 0.1072 0.6050 0.7122  2 Cu 2.55, 1 Sn 2.81, 1 Hg 2.82

Output
Formation energy without anion corrections (kJ per mole of atoms): -10.6
Symmetry: I-42m, No. 121
Total DFT energy (no corrections) (eV per atom): -3.560



Record 7
Computed, not measured: a relaxed structure of SrCuHg2 at the GGA-PBEsol level of DFT.

abc: 4.6279 4.6297 5.8750
angles: 113.24 90.00 119.99
With the nearest neighbours (Å) after each atom.
Fractional positions:
Hg 0.0340 0.0681 0.1018  3 Cu 2.68, 3 Hg 2.98
Sr 0.4921 0.9841 0.4762  4 Cu 3.12-3.41, 7 Hg 3.28-3.31
Cu 0.6912 0.3823 0.0730  6 Hg 2.68-2.92
Hg 0.2827 0.5655 0.8490  3 Cu 2.92, 3 Hg 2.98

Output
Symmetry: R3m, No. 160
Total DFT energy (no corrections) (eV per atom): -2.081
Formation energy (eV per atom): -0.253



Record 8
Computed, not measured: a relaxed structure of TaCu2Hg2 at the GGA-PBEsol level of DFT.

abc: 3.2045 3.2045 8.5987
angles: 100.74 100.74 90.00
With the nearest neighbours (Å) after each atom.
Fractional positions:
Cu 0.2500 0.7500 0.5000  4 Cu 2.27
Hg 0.3845 0.3845 0.7689  4 Cu 2.75, 4 Ta 2.97
Hg 0.6155 0.6155 0.2311  4 Cu 2.75, 4 Ta 2.97
Ta 0.0000 0.0000 0.0000  8 Hg 2.97, 4 Ta 3.20
Cu 0.7500 0.2500 0.5000  4 Cu 2.27

Output
Symmetry: I4/mmm, No. 139
Total DFT energy (no corrections) (eV per atom): -4.034
Formation energy (eV per atom): 0.436



Record 9
Computed, not measured: a relaxed structure of Ta3CuHg at the GGA-PBEsol level of DFT.

abc: 4.5995 4.5995 4.5995
angles: 90.00 90.00 90.00
With the nearest neighbours (Å) after each atom.
Fractional positions:
Ta 0.5000 0.0000 0.0000  2 Cu 2.30
Ta 0.0000 0.5000 0.0000  2 Cu 2.30
Cu 0.0000 0.0000 0.0000  6 Ta 2.30
Ta 0.0000 0.0000 0.5000  2 Cu 2.30
Hg 0.5000 0.5000 0.5000  12 Ta 3.25

Output
Symmetry: Pm-3m, No. 221
Total DFT energy (no corrections) (eV per atom): -7.359
Formation energy (eV per atom): 1.152



Record 10
Computed, not measured: a relaxed structure of Ta2CuHg at the GGA-PBEsol level of DFT.

abc: 2.8626 4.1560 5.8546
angles: 90.00 104.15 90.00
With the nearest neighbours (Å) after each atom.
Fractional positions:
Ta 0.9395 0.0000 0.8791  1 Cu 2.67, 6 Ta 2.86-2.95, 4 Hg 2.92
Ta 0.3058 0.5000 0.6116  4 Cu 2.77, 6 Ta 2.86-2.95, 3 Hg 2.99-3.04
Hg 0.5694 0.5000 0.1387  2 Cu 2.58, 2 Hg 2.86
Cu 0.7041 0.0000 0.4081  2 Hg 2.58, 5 Ta 2.67-2.77, 2 Cu 2.86

Output
Offset from the most stable computed form (eV/atom): 0.0000
Symmetry: Amm2, No. 38
Total DFT energy (no corrections) (eV per atom): -7.267
Formation energy (eV per atom): 0.234



Record 11
Computed, not measured: a relaxed structure of Ta2CuHg at the GGA-PBEsol level of DFT.

abc: 2.8765 4.8503 5.1044
angles: 99.93 106.37 90.00
With the nearest neighbours (Å) after each atom.
Fractional positions:
Hg 0.0000 0.5000 0.0000  4 Cu 2.82, 2 Hg 2.88, 6 Ta 2.92-2.95
Cu 0.5000 0.0000 0.0000  4 Hg 2.82, 6 Ta 2.87-2.93, 2 Cu 2.88
Ta 0.7537 0.7603 0.5074  6 Ta 2.75-2.90, 3 Cu 2.87-2.93, 3 Hg 2.92-2.95
Ta 0.2463 0.2397 0.4926  6 Ta 2.75-2.90, 3 Cu 2.87-2.93, 3 Hg 2.92-2.95

Output
Offset from the most stable computed form (eV/atom): 0.0604
Symmetry: C2/m, No. 12
Total DFT energy (no corrections) (eV per atom): -7.206
Formation energy (eV per atom): 0.294



Record 12
Computed, not measured: a relaxed structure of Cu2TcHg at the GGA-PBEsol level of DFT.

abc: 2.6954 3.6827 5.7347
angles: 90.00 90.02 90.00
With the nearest neighbours (Å) after each atom.
Fractional positions:
Cu 0.0001 0.0000 0.2773  3 Cu 2.55-2.70, 4 Tc 2.61-2.62, 4 Hg 2.78
Tc 0.5000 0.5000 0.5000  8 Cu 2.61-2.62, 2 Tc 2.70, 2 Hg 2.87
Hg 0.5000 0.5000 0.0000  2 Hg 2.70, 8 Cu 2.78, 2 Tc 2.87
Cu 0.9999 0.0000 0.7227  3 Cu 2.55-2.70, 4 Tc 2.61-2.62, 4 Hg 2.78

Output
Symmetry: Pmmm, No. 47
Total DFT energy (no corrections) (eV per atom): -4.764
Formation energy (eV per atom): 0.362



Record 13
Computed, not measured: a relaxed structure of CuTcHg2 at the GGA-PBEsol level of DFT.

abc: 2.8068 2.8068 8.4784
angles: 90.00 90.00 90.00
With the nearest neighbours (Å) after each atom.
Fractional positions:
Hg 0.0000 0.0000 0.9645  4 Hg 2.81, 4 Cu 2.82
Hg 0.5000 0.5000 0.2768  4 Hg 2.81, 4 Tc 2.92
Tc 0.0000 0.0000 0.5299  4 Cu 2.61, 4 Tc 2.81
Cu 0.5000 0.5000 0.7289  4 Tc 2.61, 4 Cu 2.81, 4 Hg 2.82

Output
Offset from the most stable computed form (eV/atom): 0.0000
Symmetry: P4mm, No. 99
Total DFT energy (no corrections) (eV per atom): -3.769
Formation energy (eV per atom): 0.415



Record 14
Computed, not measured: a relaxed structure of Cu2TcHg at the GGA-PBEsol level of DFT.

abc: 2.7467 2.7467 8.9522
angles: 81.18 81.18 60.00
With the nearest neighbours (Å) after each atom.
Fractional positions:
Tc 0.2580 0.2580 0.2260  3 Cu 2.60, 6 Tc 2.75
Cu 0.7423 0.7423 0.7732  9 Cu 2.50-2.75
Hg 0.4971 0.4971 0.5086  6 Hg 2.75, 3 Cu 2.82, 3 Tc 2.95
Cu 0.0026 0.0026 0.9922  9 Cu 2.50-2.75, 3 Tc 2.60

Output
Symmetry: R3m, No. 160
Total DFT energy (no corrections) (eV per atom): -4.734
Formation energy (eV per atom): 0.391



Record 15
Computed, not measured: a relaxed structure of CuTcHg2 at the GGA-PBEsol level of DFT.

abc: 4.0629 4.0629 4.9459
angles: 114.25 114.25 90.00
With the nearest neighbours (Å) after each atom.
Fractional positions:
Hg 0.0000 0.0000 0.0000  4 Hg 2.86, 4 Cu 2.86, 4 Tc 2.87
Tc 0.5000 0.5000 0.0000  8 Hg 2.86-2.87, 4 Cu 2.86
Hg 0.7500 0.2500 0.5000  4 Tc 2.86, 4 Hg 2.86, 4 Cu 2.87
Cu 0.2500 0.7500 0.5000  8 Hg 2.86-2.87, 4 Tc 2.86

Output
Offset from the most stable computed form (eV/atom): 0.1911
Symmetry: I-4m2, No. 119
Total DFT energy (no corrections) (eV per atom): -3.577
Formation energy (eV per atom): 0.606



Number 1: mass density 11731 kg/m3. Number 2: mass density 10718 kg/m3. Number 3: mass density 6550 kg/m3. Number 4: mass density 10833 kg/m3. Number 5: mass density 6392 kg/m3. Number 6: mass density 6739 kg/m3. Number 7: mass density 9451 kg/m3. Number 8: mass density 13826 kg/m3. Number 9: mass density 13771 kg/m3. Number 10: mass density 15392 kg/m3. Number 11: mass density 15465 kg/m3. Number 12: mass density 12417 kg/m3. Number 13: mass density 13990 kg/m3. Number 14: mass density 12280 kg/m3. Number 15: mass density 14060 kg/m3.